Sn2PO4 | GGA-PBE | relaxed

**Final energy**: -44.861 eV/cell
**Formation energy from raw total energies**: -1.659 eV/atom

a b c (Å): 5.072 5.076 6.200
angles (deg): 67.09 67.43 81.54
Space group P1 (No. 1)
Inequivalent atoms, fractional coordinates:
Sn: 0.000 0.000 0.000 x1
Sn: 0.015 0.013 0.483 x1
P: 0.561 0.453 0.241 x1
O: 0.243 0.417 0.284 x1
O: 0.598 0.771 0.198 x1
O: 0.623 0.248 0.479 x1
O: 0.764 0.392 0.003 x1